# LiHfPS2 GGA-PBE relaxed
data_LiHfPS2
_chemical_formula_sum 'Li1 Hf1 P1 S2'
_symmetry_space_group_name_H-M 'P 4/m m m'
_symmetry_Int_Tables_number 123
_symmetry_space_group_name_Hall '-P 4 2'
_cell_length_a 4.363
_cell_length_b 4.363
_cell_length_c 4.317
_cell_angle_alpha 90.00
_cell_angle_beta 90.00
_cell_angle_gamma 90.00
loop_
_atom_site_label
_atom_site_type_symbol
_atom_site_fract_x
_atom_site_fract_y
_atom_site_fract_z
Li1 Li 0.000 0.000 0.000
Hf1 Hf 0.500 0.500 0.500
P1 P 0.000 0.000 0.500
S1 S 0.000 0.500 0.000
# - ΔE_f (raw): 94 meV/atom
# - Calculated total energy: -5.01 eV/atom
# - DOS at the Fermi energy: 0.73 states/eV/atom
# - Polymorph energy (0 for the lowest one): 633 meV/atom